1.
# CuHg2Rh | Alexandria via LeMat-Bulk | GGA-PBE | relaxed
# - spin magnetization (μB/atom) = 0.000
# - calculated formation energy (eV/atom) = 0.17
# - final energy (eV/atom) = -2.839
data_CuHg2Rh
_symmetry_space_group_name_H-M 'F m -3 m'
_symmetry_Int_Tables_number 225
_symmetry_space_group_name_Hall '-F 4 2 3'
_cell_length_a 6.5072
_cell_length_b 6.5072
_cell_length_c 6.5072
_cell_angle_alpha 90.00
_cell_angle_beta 90.00
_cell_angle_gamma 90.00
loop_
_atom_site_label
_atom_site_type_symbol
_atom_site_fract_x
_atom_site_fract_y
_atom_site_fract_z
Cu1 Cu 0.0000 0.0000 0.0000
Hg1 Hg 0.2500 0.2500 0.2500
Rh1 Rh 0.0000 0.0000 0.5000

2.
# CuHg2Rh | Alexandria via LeMat-Bulk | GGA-PBE | relaxed
# - spin magnetization (μB/atom) = 0.000
# - calculated formation energy (eV/atom) = 0.18
# - final energy (eV/atom) = -2.837
data_CuHg2Rh
_symmetry_space_group_name_H-M 'P 4/m m m'
_symmetry_Int_Tables_number 123
_symmetry_space_group_name_Hall '-P 4 2'
_cell_length_a 3.1700
_cell_length_b 3.1700
_cell_length_c 6.8135
_cell_angle_alpha 90.00
_cell_angle_beta 90.00
_cell_angle_gamma 90.00
loop_
_atom_site_label
_atom_site_type_symbol
_atom_site_fract_x
_atom_site_fract_y
_atom_site_fract_z
Cu1 Cu 0.0000 0.0000 0.0000
Hg1 Hg 0.5000 0.5000 0.2432
Rh1 Rh 0.0000 0.0000 0.5000

3.
# CuHg2Rh | Alexandria via LeMat-Bulk | GGA-PBE | relaxed
# - spin magnetization (μB/atom) = 0.000
# - calculated formation energy (eV/atom) = 0.28
# - final energy (eV/atom) = -2.731
data_CuHg2Rh
_symmetry_space_group_name_H-M 'F -4 3 m'
_symmetry_Int_Tables_number 216
_symmetry_space_group_name_Hall 'F -4 2 3'
_cell_length_a 6.5266
_cell_length_b 6.5266
_cell_length_c 6.5266
_cell_angle_alpha 90.00
_cell_angle_beta 90.00
_cell_angle_gamma 90.00
loop_
_atom_site_label
_atom_site_type_symbol
_atom_site_fract_x
_atom_site_fract_y
_atom_site_fract_z
Cu1 Cu 0.0000 0.0000 0.0000
Hg1 Hg 0.0000 0.0000 0.5000
Hg2 Hg 0.2500 0.2500 0.7500
Rh1 Rh 0.2500 0.2500 0.2500

4.
# Cu2HgRh | Alexandria via LeMat-Bulk | GGA-PBE | relaxed
# - spin magnetization (μB/atom) = 0.151
# - calculated formation energy (eV/atom) = 0.23
# - final energy (eV/atom) = -3.727
data_Cu2HgRh
_symmetry_space_group_name_H-M 'R 3 m'
_symmetry_Int_Tables_number 160
_symmetry_space_group_name_Hall 'R 3 -2"'
_cell_length_a 2.8511
_cell_length_b 2.8511
_cell_length_c 25.9133
_cell_angle_alpha 90.00
_cell_angle_beta 90.00
_cell_angle_gamma 120.00
loop_
_atom_site_label
_atom_site_type_symbol
_atom_site_fract_x
_atom_site_fract_y
_atom_site_fract_z
Cu1 Cu 0.0000 0.0000 0.0000
Cu2 Cu 0.0000 0.0000 0.2597
Hg1 Hg 0.0000 0.0000 0.7549
Rh1 Rh 0.0000 0.0000 0.5146

5.
# CuHg4Rh | Alexandria via LeMat-Bulk | GGA-PBE | relaxed
# - spin magnetization (μB/atom) = 0.000
# - calculated formation energy (eV/atom) = 0.63
# - final energy (eV/atom) = -1.476
data_CuHg4Rh
_symmetry_space_group_name_H-M 'F -4 3 m'
_symmetry_Int_Tables_number 216
_symmetry_space_group_name_Hall 'F -4 2 3'
_cell_length_a 7.9783
_cell_length_b 7.9783
_cell_length_c 7.9783
_cell_angle_alpha 90.00
_cell_angle_beta 90.00
_cell_angle_gamma 90.00
loop_
_atom_site_label
_atom_site_type_symbol
_atom_site_fract_x
_atom_site_fract_y
_atom_site_fract_z
Cu1 Cu 0.0000 0.0000 0.0000
Hg1 Hg 0.1249 0.1249 0.6249
Rh1 Rh 0.2500 0.2500 0.2500

6.
# Cu2HgRh | Alexandria via LeMat-Bulk | GGA-PBE | relaxed
# - spin magnetization (μB/atom) = 0.000
# - calculated formation energy (eV/atom) = 0.14
# - final energy (eV/atom) = -3.825
data_Cu2HgRh
_symmetry_space_group_name_H-M 'P 1 2/m 1'
_symmetry_Int_Tables_number 10
_cell_length_a 2.9041
_cell_length_b 3.5981
_cell_length_c 5.7105
_cell_angle_alpha 90.00
_cell_angle_beta 90.38
_cell_angle_gamma 90.00
loop_
_symmetry_equiv_pos_as_xyz
'x,y,z'
'-x,-y,-z'
'-x,y,-z'
'x,-y,z'
loop_
_atom_site_label
_atom_site_type_symbol
_atom_site_fract_x
_atom_site_fract_y
_atom_site_fract_z
Cu1 Cu 0.9996 0.0000 0.2240
Hg1 Hg 0.5000 0.5000 0.5000
Rh1 Rh 0.5000 0.5000 0.0000

7.
# CuHg3Rh | Alexandria via LeMat-Bulk | GGA-PBE | relaxed
# - spin magnetization (μB/atom) = 0.000
# - calculated formation energy (eV/atom) = 0.63
# - final energy (eV/atom) = -1.843
data_CuHg3Rh
_symmetry_space_group_name_H-M 'P m -3 m'
_symmetry_Int_Tables_number 221
_symmetry_space_group_name_Hall '-P 4 2 3'
_cell_length_a 5.2142
_cell_length_b 5.2142
_cell_length_c 5.2142
_cell_angle_alpha 90.00
_cell_angle_beta 90.00
_cell_angle_gamma 90.00
loop_
_atom_site_label
_atom_site_type_symbol
_atom_site_fract_x
_atom_site_fract_y
_atom_site_fract_z
Cu1 Cu 0.0000 0.0000 0.0000
Hg1 Hg 0.0000 0.5000 0.5000
Rh1 Rh 0.5000 0.5000 0.5000

8.
# CuHgRh | Alexandria via LeMat-Bulk | GGA-PBE | relaxed
# - spin magnetization (μB/atom) = 0.000
# - calculated formation energy (eV/atom) = 0.33
# - final energy (eV/atom) = -3.585
data_CuHgRh
_symmetry_space_group_name_H-M 'F -4 3 m'
_symmetry_Int_Tables_number 216
_symmetry_space_group_name_Hall 'F -4 2 3'
_cell_length_a 5.9643
_cell_length_b 5.9643
_cell_length_c 5.9643
_cell_angle_alpha 90.00
_cell_angle_beta 90.00
_cell_angle_gamma 90.00
loop_
_atom_site_label
_atom_site_type_symbol
_atom_site_fract_x
_atom_site_fract_y
_atom_site_fract_z
Cu1 Cu 0.0000 0.0000 0.0000
Hg1 Hg 0.2500 0.2500 0.2500
Rh1 Rh 0.2500 0.2500 0.7500

9.
# CuHg2Rh | Alexandria via LeMat-Bulk | GGA-PBE | relaxed
# - spin magnetization (μB/atom) = 0.000
# - calculated formation energy (eV/atom) = 0.11
# - final energy (eV/atom) = -2.900
data_CuHg2Rh
_symmetry_space_group_name_H-M 'P 4/m m m'
_symmetry_Int_Tables_number 123
_symmetry_space_group_name_Hall '-P 4 2'
_cell_length_a 4.2069
_cell_length_b 4.2069
_cell_length_c 3.8770
_cell_angle_alpha 90.00
_cell_angle_beta 90.00
_cell_angle_gamma 90.00
loop_
_atom_site_label
_atom_site_type_symbol
_atom_site_fract_x
_atom_site_fract_y
_atom_site_fract_z
Cu1 Cu 0.0000 0.0000 0.0000
Hg1 Hg 0.0000 0.5000 0.5000
Rh1 Rh 0.5000 0.5000 0.0000

10.
# CuHg2Rh | Alexandria via LeMat-Bulk | GGA-PBE | relaxed
# - spin magnetization (μB/atom) = 0.000
# - calculated formation energy (eV/atom) = 0.25
# - final energy (eV/atom) = -2.759
data_CuHg2Rh
_symmetry_space_group_name_H-M 'R -3 m'
_symmetry_Int_Tables_number 166
_symmetry_space_group_name_Hall '-R 3 2"'
_cell_length_a 3.0364
_cell_length_b 3.0364
_cell_length_c 26.4231
_cell_angle_alpha 90.00
_cell_angle_beta 90.00
_cell_angle_gamma 120.00
loop_
_atom_site_label
_atom_site_type_symbol
_atom_site_fract_x
_atom_site_fract_y
_atom_site_fract_z
Cu1 Cu 0.0000 0.0000 0.0000
Hg1 Hg 0.0000 0.0000 0.2511
Rh1 Rh 0.0000 0.0000 0.5000

11.
# Sc4Cu2HgRh | Alexandria via LeMat-Bulk | GGA-PBE | relaxed
# - spin magnetization (μB/atom) = 0.000
# - calculated formation energy (eV/atom) = -0.49
# - final energy (eV/atom) = -5.639
data_Sc4Cu2HgRh
_symmetry_space_group_name_H-M 'R -3 m'
_symmetry_Int_Tables_number 166
_symmetry_space_group_name_Hall '-R 3 2"'
_cell_length_a 4.7065
_cell_length_b 4.7065
_cell_length_c 23.0447
_cell_angle_alpha 90.00
_cell_angle_beta 90.00
_cell_angle_gamma 120.00
loop_
_atom_site_label
_atom_site_type_symbol
_atom_site_fract_x
_atom_site_fract_y
_atom_site_fract_z
Sc1 Sc 0.0000 0.0000 0.1178
Sc2 Sc 0.0000 0.0000 0.3698
Cu1 Cu 0.0000 0.0000 0.2478
Hg1 Hg 0.0000 0.0000 0.5000
Rh1 Rh 0.0000 0.0000 0.0000

12.
# CuHg2Rh2Se6 | Alexandria via LeMat-Bulk | GGA-PBE | relaxed
# - spin magnetization (μB/atom) = 0.000
# - final energy (eV/atom) = -3.894
data_CuHg2Rh2Se6
_symmetry_space_group_name_H-M 'C 1 2/m 1'
_symmetry_Int_Tables_number 12
_cell_length_a 6.5396
_cell_length_b 11.1485
_cell_length_c 7.4164
_cell_angle_alpha 90.00
_cell_angle_beta 109.78
_cell_angle_gamma 90.00
loop_
_symmetry_equiv_pos_as_xyz
'x,y,z'
'-x,-y,-z'
'-x,y,-z'
'x,-y,z'
'x+1/2,y+1/2,z'
'-x+1/2,-y+1/2,-z'
'-x+1/2,y+1/2,-z'
'x+1/2,-y+1/2,z'
loop_
_atom_site_label
_atom_site_type_symbol
_atom_site_fract_x
_atom_site_fract_y
_atom_site_fract_z
Cu1 Cu 0.0000 0.0000 0.0000
Hg1 Hg 0.0000 0.1761 0.5000
Rh1 Rh 0.0000 0.3310 0.0000
Se1 Se 0.2491 0.0000 0.8222
Se2 Se 0.2495 0.3242 0.8073

13.
# SrCu2HgRh | Alexandria via LeMat-Bulk | GGA-PBE | relaxed
# - spin magnetization (μB/atom) = 0.000
# - calculated formation energy (eV/atom) = 1.34
# - final energy (eV/atom) = -2.167
data_SrCu2HgRh
_symmetry_space_group_name_H-M 'P 4/m m m'
_symmetry_Int_Tables_number 123
_symmetry_space_group_name_Hall '-P 4 2'
_cell_length_a 5.3124
_cell_length_b 5.3124
_cell_length_c 4.9857
_cell_angle_alpha 90.00
_cell_angle_beta 90.00
_cell_angle_gamma 90.00
loop_
_atom_site_label
_atom_site_type_symbol
_atom_site_fract_x
_atom_site_fract_y
_atom_site_fract_z
Sr1 Sr 0.0000 0.0000 0.0000
Cu1 Cu 0.0000 0.5000 0.0000
Hg1 Hg 0.5000 0.5000 0.5000
Rh1 Rh 0.0000 0.0000 0.5000

14.
# SrCuHgRh | Alexandria via LeMat-Bulk | GGA-PBE | relaxed
# - spin magnetization (μB/atom) = 0.000
# - calculated formation energy (eV/atom) = -0.15
# - final energy (eV/atom) = -3.505
data_SrCuHgRh
_symmetry_space_group_name_H-M 'R 3 m'
_symmetry_Int_Tables_number 160
_symmetry_space_group_name_Hall 'R 3 -2"'
_cell_length_a 4.4425
_cell_length_b 4.4425
_cell_length_c 16.3257
_cell_angle_alpha 90.00
_cell_angle_beta 90.00
_cell_angle_gamma 120.00
loop_
_atom_site_label
_atom_site_type_symbol
_atom_site_fract_x
_atom_site_fract_y
_atom_site_fract_z
Sr1 Sr 0.0000 0.0000 0.0000
Cu1 Cu 0.0000 0.0000 0.7937
Hg1 Hg 0.0000 0.0000 0.1997
Rh1 Rh 0.0000 0.0000 0.4658

15.
# SrCuHgRh | Alexandria via LeMat-Bulk | GGA-PBE | relaxed
# - spin magnetization (μB/atom) = 0.000
# - calculated formation energy (eV/atom) = -0.16
# - final energy (eV/atom) = -3.515
data_SrCuHgRh
_symmetry_space_group_name_H-M 'R 3 m'
_symmetry_Int_Tables_number 160
_symmetry_space_group_name_Hall 'R 3 -2"'
_cell_length_a 4.4694
_cell_length_b 4.4694
_cell_length_c 16.2407
_cell_angle_alpha 90.00
_cell_angle_beta 90.00
_cell_angle_gamma 120.00
loop_
_atom_site_label
_atom_site_type_symbol
_atom_site_fract_x
_atom_site_fract_y
_atom_site_fract_z
Sr1 Sr 0.0000 0.0000 0.0000
Cu1 Cu 0.0000 0.0000 0.5316
Hg1 Hg 0.0000 0.0000 0.8013
Rh1 Rh 0.0000 0.0000 0.2002

16.
# SrCuHgRh | Alexandria via LeMat-Bulk | GGA-PBE | relaxed
# - spin magnetization (μB/atom) = 0.000
# - calculated formation energy (eV/atom) = -0.08
# - final energy (eV/atom) = -3.434
data_SrCuHgRh
_symmetry_space_group_name_H-M 'P 1 m 1'
_symmetry_Int_Tables_number 6
_cell_length_a 4.2185
_cell_length_b 4.1252
_cell_length_c 5.5050
_cell_angle_alpha 90.00
_cell_angle_beta 112.36
_cell_angle_gamma 90.00
loop_
_symmetry_equiv_pos_as_xyz
'x,y,z'
'x,-y,z'
loop_
_atom_site_label
_atom_site_type_symbol
_atom_site_fract_x
_atom_site_fract_y
_atom_site_fract_z
Sr1 Sr 0.0000 0.0000 0.0000
Cu1 Cu 0.7131 0.0000 0.4318
Hg1 Hg 0.2994 0.5000 0.5965
Rh1 Rh 0.5855 0.5000 0.1719

17.
# SrCuHgRh | Alexandria via LeMat-Bulk | GGA-PBE | relaxed
# - spin magnetization (μB/atom) = 0.000
# - calculated formation energy (eV/atom) = -0.01
# - final energy (eV/atom) = -3.364
data_SrCuHgRh
_symmetry_space_group_name_H-M 'P 4 m m'
_symmetry_Int_Tables_number 99
_cell_length_a 3.4626
_cell_length_b 3.4626
_cell_length_c 7.0269
_cell_angle_alpha 90.00
_cell_angle_beta 90.00
_cell_angle_gamma 90.00
loop_
_symmetry_equiv_pos_as_xyz
'x,y,z'
'-y,x,z'
'-x,-y,z'
'y,-x,z'
'-x,y,z'
'y,x,z'
'x,-y,z'
'-y,-x,z'
loop_
_atom_site_label
_atom_site_type_symbol
_atom_site_fract_x
_atom_site_fract_y
_atom_site_fract_z
Sr1 Sr 0.0000 0.0000 0.0000
Cu1 Cu 0.5000 0.5000 0.7037
Hg1 Hg 0.5000 0.5000 0.3232
Rh1 Rh 0.0000 0.0000 0.5773

18.
# SrCuHgRh | Alexandria via LeMat-Bulk | GGA-PBE | relaxed
# - spin magnetization (μB/atom) = 0.000
# - calculated formation energy (eV/atom) = -0.16
# - final energy (eV/atom) = -3.518
data_SrCuHgRh
_symmetry_space_group_name_H-M 'C 1 m 1'
_symmetry_Int_Tables_number 8
_cell_length_a 8.0001
_cell_length_b 4.6127
_cell_length_c 5.7927
_cell_angle_alpha 90.00
_cell_angle_beta 117.15
_cell_angle_gamma 90.00
loop_
_symmetry_equiv_pos_as_xyz
'x,y,z'
'x,-y,z'
'x+1/2,y+1/2,z'
'x+1/2,-y+1/2,z'
loop_
_atom_site_label
_atom_site_type_symbol
_atom_site_fract_x
_atom_site_fract_y
_atom_site_fract_z
Sr1 Sr 0.0000 0.0000 0.0000
Cu1 Cu 0.3114 0.5000 0.4338
Hg1 Hg 0.4981 0.0000 0.4938
Rh1 Rh 0.1917 0.0000 0.5743

19.
# SrCuHgRh | Alexandria via LeMat-Bulk | GGA-PBE | relaxed
# - spin magnetization (μB/atom) = 0.000
# - calculated formation energy (eV/atom) = -0.06
# - final energy (eV/atom) = -3.420
data_SrCuHgRh
_symmetry_space_group_name_H-M 'A m m 2'
_symmetry_Int_Tables_number 38
_cell_length_a 4.2137
_cell_length_b 4.0034
_cell_length_c 10.4611
_cell_angle_alpha 90.00
_cell_angle_beta 90.00
_cell_angle_gamma 90.00
loop_
_symmetry_equiv_pos_as_xyz
'x,y,z'
'-x,-y,z'
'-x,y,z'
'x,-y,z'
'x,y+1/2,z+1/2'
'-x,-y+1/2,z+1/2'
'-x,y+1/2,z+1/2'
'x,-y+1/2,z+1/2'
loop_
_atom_site_label
_atom_site_type_symbol
_atom_site_fract_x
_atom_site_fract_y
_atom_site_fract_z
Sr1 Sr 0.0000 0.0000 0.0000
Cu1 Cu 0.5000 0.0000 0.3977
Hg1 Hg 0.5000 0.0000 0.7060
Rh1 Rh 0.0000 0.0000 0.2729

20.
# TbCuHgRh | Alexandria via LeMat-Bulk | GGA-PBE | relaxed
# - spin magnetization (μB/atom) = 0.000
# - calculated formation energy (eV/atom) = -0.31
# - final energy (eV/atom) = -4.404
data_TbCuHgRh
_symmetry_space_group_name_H-M 'F -4 3 m'
_symmetry_Int_Tables_number 216
_symmetry_space_group_name_Hall 'F -4 2 3'
_cell_length_a 6.6982
_cell_length_b 6.6982
_cell_length_c 6.6982
_cell_angle_alpha 90.00
_cell_angle_beta 90.00
_cell_angle_gamma 90.00
loop_
_atom_site_label
_atom_site_type_symbol
_atom_site_fract_x
_atom_site_fract_y
_atom_site_fract_z
Tb1 Tb 0.0000 0.0000 0.0000
Cu1 Cu 0.2500 0.2500 0.2500
Hg1 Hg 0.0000 0.0000 0.5000
Rh1 Rh 0.2500 0.2500 0.7500